VASP calculation (PBE) on a geometry-optimized HgSb2Au structure.

```
data_HgSb2Au
_space_group_name_H-M_alt 'P m m m'
_space_group_IT_number 47
_cell_length_a 4.0323
_cell_length_b 4.3462
_cell_length_c 5.6877
_cell_angle_alpha 90.00
_cell_angle_beta 90.00
_cell_angle_gamma 90.00
loop_
_space_group_symop_operation_xyz
'x,y,z'
'-x,-y,-z'
'-x,-y,z'
'x,y,-z'
'x,-y,-z'
'-x,y,z'
'-x,y,-z'
'x,-y,z'
loop_
_atom_site_label
_atom_site_fract_x
_atom_site_fract_y
_atom_site_fract_z
Hg1 0.0000 0.0000 0.0000
Sb1 0.0000 0.5000 0.5000
Sb2 0.5000 0.5000 0.0000
Au1 0.5000 0.0000 0.5000
```


VASP calculation (PBE) on a geometry-optimized Hg2Sb4Au5 structure.

```
data_Hg2Sb4Au5
_space_group_name_H-M_alt 'C 1 2/m 1'
_space_group_IT_number 12
_cell_length_a 21.7338
_cell_length_b 4.3895
_cell_length_c 8.5473
_cell_angle_alpha 90.00
_cell_angle_beta 94.06
_cell_angle_gamma 90.00
loop_
_space_group_symop_operation_xyz
'x,y,z'
'-x,-y,-z'
'-x,y,-z'
'x,-y,z'
'x+1/2,y+1/2,z'
'-x+1/2,-y+1/2,-z'
'-x+1/2,y+1/2,-z'
'x+1/2,-y+1/2,z'
loop_
_atom_site_label
_atom_site_fract_x
_atom_site_fract_y
_atom_site_fract_z
Hg1 0.2374 0.0000 0.3485
Sb1 0.0369 0.5000 0.8419
Sb2 0.1230 0.0000 0.4876
Au1 0.0000 0.0000 0.0000
Au2 0.0501 0.5000 0.3902
Au3 0.1386 0.5000 0.6804
```


VASP calculation (PBE) on a geometry-optimized HgSb2Au structure.

```
data_HgSb2Au
_space_group_name_H-M_alt 'P 4/m m m'
_space_group_IT_number 123
_space_group_name_Hall '-P 4 2'
_cell_length_a 4.4759
_cell_length_b 4.4759
_cell_length_c 4.8520
_cell_angle_alpha 90.00
_cell_angle_beta 90.00
_cell_angle_gamma 90.00
loop_
_atom_site_label
_atom_site_fract_x
_atom_site_fract_y
_atom_site_fract_z
Hg1 0.0000 0.0000 0.0000
Sb1 0.0000 0.5000 0.5000
Au1 0.5000 0.5000 0.0000
```


# HgSb3Au3 PBE optimized geometry
data_HgSb3Au3
_space_group_name_H-M_alt 'P -1'
_space_group_IT_number 2
_cell_length_a 7.4420
_cell_length_b 7.7123
_cell_length_c 7.9060
_cell_angle_alpha 117.07
_cell_angle_beta 108.28
_cell_angle_gamma 93.05
loop_
_space_group_symop_operation_xyz
'x,y,z'
'-x,-y,-z'
loop_
_atom_site_label
_atom_site_fract_x
_atom_site_fract_y
_atom_site_fract_z
Hg1 0.0477 0.3014 0.2558
Sb1 0.1622 0.7284 0.2703
Sb2 0.3023 0.0315 0.9894
Sb3 0.3965 0.4073 0.7265
Au1 0.2308 0.3838 0.9864
Au2 0.2855 0.6815 0.6100
Au3 0.3814 0.0803 0.3718
# * excess energy over the best structure of this formula in the dataset: 0 meV/atom


VASP calculation (PBE) on a geometry-optimized HgSb2Au structure.

```
data_HgSb2Au
_space_group_name_H-M_alt 'R -3 m'
_space_group_IT_number 166
_space_group_name_Hall '-R 3 2"'
_cell_length_a 3.4666
_cell_length_b 3.4666
_cell_length_c 30.8026
_cell_angle_alpha 90.00
_cell_angle_beta 90.00
_cell_angle_gamma 120.00
loop_
_atom_site_label
_atom_site_fract_x
_atom_site_fract_y
_atom_site_fract_z
Hg1 0.0000 0.0000 0.0000
Sb1 0.0000 0.0000 0.2342
Au1 0.0000 0.0000 0.5000
```


VASP calculation (PBE) on a geometry-optimized HgSb4Au structure.

```
data_HgSb4Au
_space_group_name_H-M_alt 'F -4 3 m'
_space_group_IT_number 216
_space_group_name_Hall 'F -4 2 3'
_cell_length_a 8.8460
_cell_length_b 8.8460
_cell_length_c 8.8460
_cell_angle_alpha 90.00
_cell_angle_beta 90.00
_cell_angle_gamma 90.00
loop_
_atom_site_label
_atom_site_fract_x
_atom_site_fract_y
_atom_site_fract_z
Hg1 0.0000 0.0000 0.0000
Sb1 0.1304 0.1304 0.6304
Au1 0.2500 0.2500 0.2500
```


VASP calculation (PBE) on a geometry-optimized HgSb2Au structure.

```
data_HgSb2Au
_space_group_name_H-M_alt 'P 1 2/m 1'
_space_group_IT_number 10
_cell_length_a 4.9828
_cell_length_b 4.1474
_cell_length_c 5.5989
_cell_angle_alpha 90.00
_cell_angle_beta 105.21
_cell_angle_gamma 90.00
loop_
_space_group_symop_operation_xyz
'x,y,z'
'-x,-y,-z'
'-x,y,-z'
'x,-y,z'
loop_
_atom_site_label
_atom_site_fract_x
_atom_site_fract_y
_atom_site_fract_z
Hg1 0.0000 0.0000 0.0000
Sb1 0.2554 0.5000 0.6918
Au1 0.5000 0.0000 0.5000
```


VASP calculation (PBE) on a geometry-optimized HgSb2Au structure.

```
data_HgSb2Au
_space_group_name_H-M_alt 'C 1 2/m 1'
_space_group_IT_number 12
_cell_length_a 7.2859
_cell_length_b 4.2039
_cell_length_c 7.3594
_cell_angle_alpha 90.00
_cell_angle_beta 108.45
_cell_angle_gamma 90.00
loop_
_space_group_symop_operation_xyz
'x,y,z'
'-x,-y,-z'
'-x,y,-z'
'x,-y,z'
'x+1/2,y+1/2,z'
'-x+1/2,-y+1/2,-z'
'-x+1/2,y+1/2,-z'
'x+1/2,-y+1/2,z'
loop_
_atom_site_label
_atom_site_fract_x
_atom_site_fract_y
_atom_site_fract_z
Hg1 0.0000 0.0000 0.0000
Sb1 0.2295 0.0000 0.7013
Au1 0.0000 0.5000 0.5000
```


VASP calculation (PBE) on a geometry-optimized HgSb2Au structure.

```
data_HgSb2Au
_space_group_name_H-M_alt 'C m m m'
_space_group_IT_number 65
_space_group_name_Hall '-C 2 2'
_cell_length_a 6.8308
_cell_length_b 8.4981
_cell_length_c 3.3311
_cell_angle_alpha 90.00
_cell_angle_beta 90.00
_cell_angle_gamma 90.00
loop_
_atom_site_label
_atom_site_fract_x
_atom_site_fract_y
_atom_site_fract_z
Hg1 0.0000 0.0000 0.0000
Sb1 0.2500 0.2500 0.5000
Au1 0.0000 0.5000 0.0000
```


# HgSb3Au3 PBE optimized geometry
data_HgSb3Au3
_space_group_name_H-M_alt 'P m -3 n'
_space_group_IT_number 223
_space_group_name_Hall '-P 4n 2 3'
_cell_length_a 7.6425
_cell_length_b 7.6425
_cell_length_c 7.6425
_cell_angle_alpha 90.00
_cell_angle_beta 90.00
_cell_angle_gamma 90.00
loop_
_atom_site_label
_atom_site_fract_x
_atom_site_fract_y
_atom_site_fract_z
Hg1 0.0000 0.0000 0.0000
Sb1 0.0000 0.2500 0.5000
Au1 0.0000 0.5000 0.2500
# * excess energy over the best structure of this formula in the dataset: 123 meV/atom


VASP calculation (PBE) on a geometry-optimized HgSbAu4 structure.

```
data_HgSbAu4
_space_group_name_H-M_alt 'F -4 3 m'
_space_group_IT_number 216
_space_group_name_Hall 'F -4 2 3'
_cell_length_a 7.9545
_cell_length_b 7.9545
_cell_length_c 7.9545
_cell_angle_alpha 90.00
_cell_angle_beta 90.00
_cell_angle_gamma 90.00
loop_
_atom_site_label
_atom_site_fract_x
_atom_site_fract_y
_atom_site_fract_z
Hg1 0.0000 0.0000 0.0000
Sb1 0.2500 0.2500 0.7500
Au1 0.1252 0.1252 0.3748
```


VASP calculation (PBE) on a geometry-optimized HgSb2Au structure.

```
data_HgSb2Au
_space_group_name_H-M_alt 'C m m m'
_space_group_IT_number 65
_space_group_name_Hall '-C 2 2'
_cell_length_a 4.0670
_cell_length_b 5.5703
_cell_length_c 9.1445
_cell_angle_alpha 90.00
_cell_angle_beta 90.00
_cell_angle_gamma 90.00
loop_
_atom_site_label
_atom_site_fract_x
_atom_site_fract_y
_atom_site_fract_z
Hg1 0.0000 0.0000 0.0000
Sb1 0.0000 0.5000 0.2879
Au1 0.0000 0.0000 0.5000
```


VASP calculation (PBE) on a geometry-optimized HgSb4Au7 structure.

```
data_HgSb4Au7
_space_group_name_H-M_alt 'P -1'
_space_group_IT_number 2
_cell_length_a 5.8071
_cell_length_b 7.0490
_cell_length_c 7.0993
_cell_angle_alpha 98.03
_cell_angle_beta 92.84
_cell_angle_gamma 91.67
loop_
_space_group_symop_operation_xyz
'x,y,z'
'-x,-y,-z'
loop_
_atom_site_label
_atom_site_fract_x
_atom_site_fract_y
_atom_site_fract_z
Hg1 0.0000 0.0000 0.0000
Sb1 0.1163 0.7730 0.4319
Sb2 0.4758 0.6385 0.7932
Au1 0.0337 0.3777 0.2475
Au2 0.2340 0.3076 0.8666
Au3 0.3389 0.1385 0.4716
Au4 0.5000 0.0000 0.0000
```


VASP calculation (PBE) on a geometry-optimized Hg3Sb4Au4 structure.

```
data_Hg3Sb4Au4
_space_group_name_H-M_alt 'C 1 2/m 1'
_space_group_IT_number 12
_cell_length_a 6.8433
_cell_length_b 22.8080
_cell_length_c 3.8165
_cell_angle_alpha 90.00
_cell_angle_beta 106.80
_cell_angle_gamma 90.00
loop_
_space_group_symop_operation_xyz
'x,y,z'
'-x,-y,-z'
'-x,y,-z'
'x,-y,z'
'x+1/2,y+1/2,z'
'-x+1/2,-y+1/2,-z'
'-x+1/2,y+1/2,-z'
'x+1/2,-y+1/2,z'
loop_
_atom_site_label
_atom_site_fract_x
_atom_site_fract_y
_atom_site_fract_z
Hg1 0.0000 0.0000 0.0000
Hg2 0.0000 0.2550 0.5000
Sb1 0.1967 0.3799 0.3378
Au1 0.0000 0.1366 0.0000
Au2 0.1693 0.5000 0.3297
```


VASP calculation (PBE) on a geometry-optimized HgSb2Au structure.

```
data_HgSb2Au
_space_group_name_H-M_alt 'F -4 3 m'
_space_group_IT_number 216
_space_group_name_Hall 'F -4 2 3'
_cell_length_a 7.3170
_cell_length_b 7.3170
_cell_length_c 7.3170
_cell_angle_alpha 90.00
_cell_angle_beta 90.00
_cell_angle_gamma 90.00
loop_
_atom_site_label
_atom_site_fract_x
_atom_site_fract_y
_atom_site_fract_z
Hg1 0.0000 0.0000 0.0000
Sb1 0.0000 0.0000 0.5000
Sb2 0.2500 0.2500 0.2500
Au1 0.2500 0.2500 0.7500
```


VASP calculation (PBE) on a geometry-optimized Hg2Sb6Au structure.

```
data_Hg2Sb6Au
_space_group_name_H-M_alt 'P 1 21/c 1'
_space_group_IT_number 14
_cell_length_a 6.8706
_cell_length_b 6.1907
_cell_length_c 12.9435
_cell_angle_alpha 90.00
_cell_angle_beta 90.04
_cell_angle_gamma 90.00
loop_
_space_group_symop_operation_xyz
'x,y,z'
'-x,-y,-z'
'-x,y+1/2,-z+1/2'
'x,-y+1/2,z+1/2'
loop_
_atom_site_label
_atom_site_fract_x
_atom_site_fract_y
_atom_site_fract_z
Hg1 0.0008 0.1701 0.1710
Sb1 0.2463 0.1888 0.4302
Sb2 0.2457 0.6883 0.0686
Sb3 0.4981 0.5795 0.2452
Au1 0.5000 0.0000 0.0000
```


VASP calculation (PBE) on a geometry-optimized HgSb4Au2 structure.

```
data_HgSb4Au2
_space_group_name_H-M_alt 'I 4/m m m'
_space_group_IT_number 139
_space_group_name_Hall '-I 4 2'
_cell_length_a 5.3662
_cell_length_b 5.3662
_cell_length_c 15.8826
_cell_angle_alpha 90.00
_cell_angle_beta 90.00
_cell_angle_gamma 90.00
loop_
_atom_site_label
_atom_site_fract_x
_atom_site_fract_y
_atom_site_fract_z
Hg1 0.0000 0.0000 0.0000
Sb1 0.0000 0.0000 0.2477
Sb2 0.0000 0.5000 0.0000
Au1 0.0000 0.0000 0.4122
```


VASP calculation (PBE) on a geometry-optimized HgSb2Au structure.

```
data_HgSb2Au
_space_group_name_H-M_alt 'P 4 m m'
_space_group_IT_number 99
_cell_length_a 3.7302
_cell_length_b 3.7302
_cell_length_c 6.9592
_cell_angle_alpha 90.00
_cell_angle_beta 90.00
_cell_angle_gamma 90.00
loop_
_space_group_symop_operation_xyz
'x,y,z'
'-y,x,z'
'-x,-y,z'
'y,-x,z'
'-x,y,z'
'y,x,z'
'x,-y,z'
'-y,-x,z'
loop_
_atom_site_label
_atom_site_fract_x
_atom_site_fract_y
_atom_site_fract_z
Hg1 0.0000 0.0000 0.0000
Sb1 0.0000 0.0000 0.5476
Sb2 0.5000 0.5000 0.2658
Au1 0.5000 0.5000 0.7581
```


VASP calculation (PBE) on a geometry-optimized HgSb2Au structure.

```
data_HgSb2Au
_space_group_name_H-M_alt 'R 3 m'
_space_group_IT_number 160
_space_group_name_Hall 'R 3 -2"'
_cell_length_a 4.2938
_cell_length_b 4.2938
_cell_length_c 20.8622
_cell_angle_alpha 90.00
_cell_angle_beta 90.00
_cell_angle_gamma 120.00
loop_
_atom_site_label
_atom_site_fract_x
_atom_site_fract_y
_atom_site_fract_z
Hg1 0.0000 0.0000 0.0000
Sb1 0.0000 0.0000 0.5647
Sb2 0.0000 0.0000 0.7723
Au1 0.0000 0.0000 0.1686
```


VASP calculation (PBE) on a geometry-optimized HgSb2Au structure.

```
data_HgSb2Au
_space_group_name_H-M_alt 'C 1 m 1'
_space_group_IT_number 8
_cell_length_a 7.3441
_cell_length_b 4.2075
_cell_length_c 7.2768
_cell_angle_alpha 90.00
_cell_angle_beta 110.50
_cell_angle_gamma 90.00
loop_
_space_group_symop_operation_xyz
'x,y,z'
'x,-y,z'
'x+1/2,y+1/2,z'
'x+1/2,-y+1/2,z'
loop_
_atom_site_label
_atom_site_fract_x
_atom_site_fract_y
_atom_site_fract_z
Hg1 0.0000 0.0000 0.0000
Sb1 0.2450 0.0000 0.7218
Sb2 0.4829 0.0000 0.4590
Au1 0.2424 0.5000 0.2331
```


N(E_F): 1.9, 9.1, 1.1, 6.0, 4.9, 9.8, 1.4, 4.0, 3.1, 5.3, 16.8, 4.9, 5.0, 9.4, 7.4, 1.1, 9.3, 1.7, 5.3, 3.5 (states/eV per cell)
Formation energy (no corrections): 0.1883, 0.1311, 0.2113, 0.0147, 0.1274, 0.4012, -0.0296, 0.0028, 0.2068, 0.1380, 0.1085, 0.1204, 0.0295, 0.0413, 0.2101, 0.0511, 0.4527, 0.1872, 0.0205, 0.0494 (eV per atom)
Calculated volume: 99.7, 406.7, 97.2, 186.6, 106.9, 173.1, 111.7, 106.9, 96.7, 223.2, 125.8, 103.6, 287.2, 285.1, 97.9, 275.3, 228.7, 96.8, 111.0, 105.3 (Å³/f.u.)